BaCoSe3 | PBE-GGA | optimized geometry

Computed properties:
Energy relative to the elements, uncorrected in eV per atom: -0.71

Cell and atoms, written as POSCAR:
```
BaCoSe3
1.0
4.929 0.000 0.000
0.000 4.929 0.000
0.000 0.000 4.929
Se Co Ba
3 1 1
direct
0.000 0.000 0.500
0.500 0.000 0.000
0.000 0.500 0.000
0.000 0.000 0.000
0.500 0.500 0.500
```

BaCo2Se | PBE-GGA | optimized geometry

Computed properties:
Energy relative to the elements, uncorrected in eV per atom: -0.17

Cell and atoms, written as POSCAR:
```
BaCo2Se
1.0
4.092 0.000 0.000
0.000 4.610 -0.142
0.000 0.653 5.003
Ba Co Se
1 2 1
direct
0.500 0.764 0.752
0.500 0.236 0.239
0.000 0.000 0.222
0.000 0.500 0.287
```

BaCo2Se | PBE-GGA | optimized geometry

Computed properties:
Energy relative to the elements, uncorrected in eV per atom: -0.24

Cell and atoms, written as POSCAR:
```
BaCo2Se
1.0
-0.217 4.114 0.282
-0.585 1.790 3.675
5.404 2.214 2.102
Se Ba Co
1 1 2
direct
0.450 0.450 0.651
0.255 0.255 0.236
0.735 0.735 0.794
0.060 0.060 0.820
```

BaCo3Se | PBE-GGA | optimized geometry

Computed properties:
Energy relative to the elements, uncorrected in eV per atom: 0.36

Cell and atoms, written as POSCAR:
```
BaCo3Se
1.0
4.582 0.000 0.000
0.000 4.582 0.000
0.000 0.000 4.582
Se Co Ba
1 3 1
direct
0.000 0.000 0.000
0.000 0.500 0.000
0.500 0.000 0.000
0.000 0.000 0.500
0.500 0.500 0.500
```

BaCo2Se | PBE-GGA | optimized geometry

Computed properties:
Energy relative to the elements, uncorrected in eV per atom: 0.52

Cell and atoms, written as POSCAR:
```
BaCo2Se
1.0
-0.063 2.736 -3.375
1.484 -3.180 -2.605
-4.659 -1.349 -1.007
Ba Se Co
1 1 2
direct
0.000 0.500 0.500
0.500 0.000 0.500
0.000 0.000 0.000
0.500 0.500 0.000
```

Ba2CoSe | PBE-GGA | optimized geometry

Computed properties:
Energy relative to the elements, uncorrected in eV per atom: -0.50

Cell and atoms, written as POSCAR:
```
Ba2CoSe
1.0
4.668 0.014 0.000
-0.013 4.668 0.000
0.000 0.000 6.585
Se Ba Co
1 2 1
direct
0.500 0.500 0.875
0.000 0.000 0.875
0.500 0.500 0.375
0.000 0.000 0.375
```

BaCo2Se | PBE-GGA | optimized geometry

Computed properties:
Energy relative to the elements, uncorrected in eV per atom: -0.20

Cell and atoms, written as POSCAR:
```
BaCo2Se
1.0
4.854 0.000 0.000
0.000 4.854 0.000
2.427 2.427 7.820
Ba Se Co
2 2 4
direct
0.750 0.250 0.500
0.000 0.000 0.000
0.250 0.750 0.500
0.500 0.500 0.000
0.875 0.625 0.750
0.375 0.125 0.250
0.375 0.625 0.250
0.375 0.625 0.750
```

BaCo2Se | PBE-GGA | optimized geometry

Computed properties:
Energy relative to the elements, uncorrected in eV per atom: 0.16

Cell and atoms, written as POSCAR:
```
BaCo2Se
1.0
-2.337 2.290 -0.933
-1.842 -0.756 2.759
3.459 5.034 3.689
Se Ba Co
1 1 2
direct
0.000 0.000 0.424
0.500 0.500 0.752
0.500 0.500 0.227
0.000 0.000 0.097
```